No. 1
A plane-wave DFT calculation with PBE-GGA was carried out for a relaxed In17SnHg11 crystal.

Results
ΔE_f = 0.02 eV per atom
density = 9.05 g/cm3
space-group type = Cm (8)

a b c (Å): 11.616 11.616 10.586
angles (deg): 121.06 121.06 102.74
Fractional positions:
In1 0.051 0.051 0.395
In2 0.769 0.769 0.361
In3 0.757 0.757 0.834
In4 0.399 0.399 0.632
In5 0.136 0.136 0.072
In6 0.331 0.513 0.939
In7 0.332 0.730 0.284
In8 0.895 0.231 0.513
In9 0.994 0.314 0.911
In10 0.186 0.607 0.688
In11 0.494 0.960 0.240
In12 0.960 0.494 0.240
In13 0.607 0.186 0.688
In14 0.314 0.994 0.911
In15 0.231 0.895 0.513
In16 0.730 0.332 0.284
In17 0.513 0.331 0.939
Sn1 0.498 0.498 0.303
Hg1 0.138 0.138 0.776
Hg2 0.621 0.815 0.046
Hg3 0.316 0.553 0.448
Hg4 0.727 0.939 0.673
Hg5 0.558 0.962 0.847
Hg6 0.966 0.208 0.226
Hg7 0.208 0.966 0.226
Hg8 0.962 0.558 0.847
Hg9 0.939 0.727 0.673
Hg10 0.553 0.316 0.448
Hg11 0.815 0.621 0.046

No. 2
A plane-wave DFT calculation with PBE-GGA was carried out for a relaxed In12Sn6Hg crystal.

Results
energy above the lowest structure with this stoichiometry = 0.000 eV/atom
ΔE_f = 0.06 eV per atom
density = 6.82 g/cm3
space-group type = R-3m (166)

a b c (Å): 8.831 8.831 8.831
angles (deg): 107.97 107.97 107.97
Fractional positions:
In1 0.886 0.114 0.500
In2 0.898 0.664 0.664
In3 0.664 0.664 0.898
In4 0.336 0.102 0.336
In5 0.336 0.336 0.102
In6 0.102 0.336 0.336
In7 0.114 0.500 0.886
In8 0.500 0.886 0.114
In9 0.114 0.886 0.500
In10 0.886 0.500 0.114
In11 0.500 0.114 0.886
In12 0.664 0.898 0.664
Sn1 0.709 0.306 0.306
Sn2 0.306 0.306 0.709
Sn3 0.306 0.709 0.306
Sn4 0.694 0.694 0.291
Sn5 0.291 0.694 0.694
Sn6 0.694 0.291 0.694
Hg1 0.000 0.000 0.000

No. 3
A plane-wave DFT calculation with PBE-GGA was carried out for a relaxed In5Sn3Hg3 crystal.

Results
ΔE_f = 0.11 eV per atom
density = 8.02 g/cm3
space-group type = P-62m (189)

a b c (Å): 3.199 10.700 10.700
angles (deg): 120.00 90.00 90.00
Fractional positions:
In1 0.500 0.667 0.333
In2 0.500 0.333 0.667
In3 0.500 0.330 0.000
In4 0.500 0.670 0.670
In5 0.500 0.000 0.330
Sn1 0.500 0.814 0.000
Sn2 0.500 0.186 0.186
Sn3 0.500 0.000 0.814
Hg1 0.000 0.571 0.000
Hg2 0.000 0.000 0.571
Hg3 0.000 0.429 0.429

No. 4
A plane-wave DFT calculation with PBE-GGA was carried out for a relaxed In3Sn3Hg crystal.

Results
energy above the lowest structure with this stoichiometry = 0.226 eV/atom
ΔE_f = 0.26 eV per atom
density = 5.48 g/cm3
space-group type = Pm-3n (223)

a b c (Å): 8.172 8.172 8.172
angles (deg): 90.00 90.00 90.00
Fractional positions:
In1 0.250 0.000 0.500
In2 0.000 0.500 0.250
In3 0.500 0.750 0.000
In4 0.750 0.000 0.500
In5 0.000 0.500 0.750
In6 0.500 0.250 0.000
Hg1 0.500 0.500 0.500
Hg2 0.000 0.000 0.000
Sn1 0.000 0.250 0.500
Sn2 0.000 0.750 0.500
Sn3 0.500 0.000 0.750
Sn4 0.750 0.500 0.000
Sn5 0.500 0.000 0.250
Sn6 0.250 0.500 0.000

No. 5
A plane-wave DFT calculation with PBE-GGA was carried out for a relaxed SrInSn2Hg2 crystal.

Results
ΔE_f = -0.18 eV per atom
density = 7.65 g/cm3
space-group type = P2_1/m (11)

a b c (Å): 5.739 7.741 8.815
angles (deg): 111.15 90.00 90.00
Fractional positions:
Sr1 0.250 0.247 0.850
Sr2 0.750 0.753 0.150
In1 0.750 0.440 0.733
In2 0.250 0.560 0.267
Sn1 0.250 0.004 0.426
Sn2 0.250 0.445 0.565
Sn3 0.750 0.996 0.574
Sn4 0.750 0.555 0.435
Hg1 0.502 0.162 0.179
Hg2 0.998 0.162 0.179
Hg3 0.002 0.838 0.821
Hg4 0.498 0.838 0.821

No. 6
A plane-wave DFT calculation with PBE-GGA was carried out for a relaxed Sr2In6SnHg crystal.

Results
ΔE_f = -0.08 eV per atom
density = 6.00 g/cm3
space-group type = R-3m (166)

a b c (Å): 7.373 7.373 14.561
angles (deg): 75.33 75.33 60.00
Fractional positions:
Sr1 0.893 0.893 0.322
Sr2 0.107 0.107 0.678
Sr3 0.719 0.719 0.844
Sr4 0.281 0.281 0.156
In1 0.932 0.334 0.400
In2 0.334 0.932 0.400
In3 0.334 0.334 0.400
In4 0.068 0.666 0.600
In5 0.666 0.068 0.600
In6 0.666 0.666 0.600
In7 0.642 0.226 0.905
In8 0.226 0.642 0.905
In9 0.226 0.226 0.905
In10 0.358 0.774 0.095
In11 0.774 0.358 0.095
In12 0.774 0.774 0.095
Sn1 0.575 0.575 0.276
Sn2 0.425 0.425 0.724
Hg1 0.000 0.000 0.000
Hg2 0.500 0.500 0.500

No. 7
A plane-wave DFT calculation with PBE-GGA was carried out for a relaxed Sr3InSn2Hg6 crystal.

Results
ΔE_f = -0.27 eV per atom
density = 8.50 g/cm3
space-group type = P-3m1 (164)

a b c (Å): 6.443 6.443 9.879
angles (deg): 90.00 90.00 120.00
Fractional positions:
Sr1 0.333 0.667 0.607
Sr2 0.667 0.333 0.393
Sr3 0.000 0.000 0.000
In1 0.000 0.000 0.500
Sn1 0.667 0.333 0.015
Sn2 0.333 0.667 0.985
Hg1 0.648 0.824 0.265
Hg2 0.176 0.352 0.265
Hg3 0.176 0.824 0.265
Hg4 0.824 0.648 0.735
Hg5 0.352 0.176 0.735
Hg6 0.824 0.176 0.735

No. 8
A plane-wave DFT calculation with PBE-GGA was carried out for a relaxed Sr3In6Sn2Hg crystal.

Results
ΔE_f = -0.22 eV per atom
density = 6.19 g/cm3
space-group type = P-3m1 (164)

a b c (Å): 6.199 6.199 11.208
angles (deg): 90.00 90.00 120.00
Fractional positions:
Sr1 0.333 0.667 0.570
Sr2 0.667 0.333 0.430
Sr3 0.000 0.000 0.000
In1 0.662 0.831 0.269
In2 0.169 0.338 0.269
In3 0.169 0.831 0.269
In4 0.831 0.662 0.731
In5 0.338 0.169 0.731
In6 0.831 0.169 0.731
Sn1 0.667 0.333 0.970
Sn2 0.333 0.667 0.030
Hg1 0.000 0.000 0.500